Compound: Pr3Ho2Tl4
Source: Alexandria via LeMat-Bulk
Functional: PBE
Structure: optimized geometry

Summary:
DOS at the Fermi energy = 8.67 states/eV/f.u.
Total magnetization = 0.00 Bohr magnetons per cell
ΔE_f = -2.68 eV per formula unit

Lattice parameters (Å, degrees): 5.4240 5.4149 10.5590 90.12 90.00 120.06
Last column: nearest neighbours and their distance in Å.
Element x y z (fractional)
Tl 0.9998 0.9997 0.6584  4 Pr 3.23-3.61, 1 Tl 3.35, 3 Ho 3.38
Tl 0.0002 0.0003 0.3416  4 Pr 3.23-3.61, 1 Tl 3.35, 3 Ho 3.38
Tl 0.6665 0.3330 0.1014  4 Pr 3.31-3.36, 4 Ho 3.37-3.40
Tl 0.3335 0.6670 0.8986  4 Pr 3.31-3.36, 4 Ho 3.37-3.40
Ho 0.6668 0.3337 0.7797  7 Tl 3.37-3.40, 3 Pr 3.76-3.77
Ho 0.3332 0.6663 0.2203  7 Tl 3.37-3.40, 3 Pr 3.76-3.77
Pr 0.3332 0.6664 0.5804  4 Tl 3.23-3.36, 3 Pr 3.56
Pr 0.0000 0.0000 0.0000  8 Tl 3.31-3.61
Pr 0.6668 0.3336 0.4196  4 Tl 3.23-3.36, 3 Pr 3.56